[1]
First-principles (PBE) data for a relaxed structure of ZrS8Cl2, as listed in Alexandria.

Summary:
SG = P-1
Calculated density = 2.17 Mg/m³
Crystal system = triclinic
Formation energy without anion corrections = -2.9 eV per formula unit

Lattice parameters (Å, degrees): 6.122 6.424 9.235 75.39 81.86 65.73
Element x y z (fractional)
Zr  0.000  0.000  0.000
S  0.012  0.243  0.720
S  0.050  0.917  0.718
S  0.110  0.530  0.052
S  0.433  0.889  0.072
S  0.567  0.111  0.928
S  0.890  0.470  0.948
S  0.950  0.083  0.282
S  0.988  0.757  0.280
Cl  0.407  0.724  0.659
Cl  0.593  0.276  0.341

[2]
First-principles (PBE) data for a relaxed structure of GeB, as listed in Alexandria.

Summary:
SG = Fm-3m
Calculated density = 5.80 Mg/m³
Crystal system = cubic
Distance to the lowest polymorph of the same formula = 520 meV per atom
Formation energy from the elements = 0.90 eV/atom

Lattice parameters (Å, degrees): 3.232 3.232 3.232 60.00 60.00 60.00
Element x y z (fractional)
Ge  0.000  0.000  0.000
B  0.500  0.500  0.500

[3]
First-principles (PBE) data for a relaxed structure of TbPrBiTe, as listed in Alexandria.

Summary:
SG = R3m
Calculated density = 8.13 Mg/m³
Crystal system = trigonal
Formation energy without anion corrections = -4.7 eV per formula unit

Lattice parameters (Å, degrees): 7.804 7.804 7.804 33.65 33.65 33.65
Element x y z (fractional)
Tb  0.000  0.000  0.000
Pr  0.501  0.501  0.501
Bi  0.254  0.254  0.254
Te  0.746  0.746  0.746

[4]
First-principles (PBE) data for a relaxed structure of BPd3W, as listed in Alexandria.

Summary:
SG = Pm-3m
Calculated density = 11.65 Mg/m³
Crystal system = cubic
Distance to the lowest polymorph of the same formula = 0 meV per atom
Formation energy from the elements = 0.49 eV/atom

Lattice parameters (Å, degrees): 4.184 4.184 4.184 90.00 90.00 90.00
Element x y z (fractional)
B  0.000  0.000  0.000
Pd  0.000  0.000  0.500
Pd  0.000  0.500  0.000
Pd  0.500  0.000  0.000
W  0.500  0.500  0.500

[5]
First-principles (PBE) data for a relaxed structure of Tm6CdOs, as listed in Alexandria.

Summary:
SG = I4/mmm
Calculated density = 10.43 Mg/m³
Crystal system = tetragonal
Distance to the lowest polymorph of the same formula = 0 meV per atom
Formation energy from the elements = -0.09 eV/atom

Lattice parameters (Å, degrees): 9.201 9.201 9.201 148.69 148.69 44.86
Element x y z (fractional)
Tm  0.100  0.600  0.500
Tm  0.250  0.250  0.000
Tm  0.400  0.900  0.500
Tm  0.600  0.100  0.500
Tm  0.750  0.750  0.000
Tm  0.900  0.400  0.500
Cd  0.000  0.000  0.000
Os  0.500  0.500  0.000

[6]
First-principles (PBE) data for a relaxed structure of Zn2CuSb, as listed in Alexandria.

Summary:
SG = Imm2
Calculated density = 7.46 Mg/m³
Crystal system = orthorhombic
Formation energy without anion corrections = 0.7 eV per formula unit

Lattice parameters (Å, degrees): 5.033 5.033 5.033 131.42 131.20 71.32
Element x y z (fractional)
Zn  0.000  0.000  0.000
Zn  0.751  0.251  0.500
Cu  0.250  0.750  0.500
Sb  0.500  0.500  0.000